Below is a geometry-optimized SeS8 structure, with properties calculated at the PBE level.

abc: 6.6446 6.6446 6.6446
angles: 114.13 114.13 100.52
Last column: nearest neighbours and their distance in Å.
Element x y z (fractional)
1 Se 0.0000 0.0000 0.0000  4 S 2.50
2 S 0.0000 0.3459 0.3459  3 S 2.23-2.48
3 S 0.0000 0.6541 0.6541  3 S 2.23-2.48
4 S 0.3439 0.3439 0.6878  4 S 2.26-2.48
5 S 0.3439 0.6561 0.0000  4 S 2.26-2.48
6 S 0.3459 0.0000 0.3459  3 S 2.23-2.48
7 S 0.6541 0.0000 0.6541  3 S 2.23-2.48
8 S 0.6561 0.3439 0.0000  4 S 2.26-2.48
9 S 0.6561 0.6561 0.3122  4 S 2.26-2.48

Values from the calculation:
- ρ (g cm⁻³) = 2.5
- D(E_F) (states/eV/f.u.) = 5.00
- formation energy without anion corrections (eV/f.u.) = 4.10
- space group = I4/mmm